[1]
A plane-wave DFT calculation with GGA-PBE was carried out for a relaxed structure of YZn4Pt2.

E   -56.484 eV per cell
Theoretical density   10.17 g/cm³
DFT formation energy   -0.66 eV/atom

a = 7.5059 Å, b = 7.5059 Å, c = 4.2940 Å
α = 90.00°, β = 90.00°, γ = 90.00°
Space group P4_2/mnm (No. 136)
One atom of each set of equivalent atoms:
Y 0.0000 0.0000 0.0000 [2 per cell]
Zn 0.1001 0.3535 0.5000 [8 per cell]
Pt 0.2134 0.7866 0.5000 [4 per cell]

---

[2]
A plane-wave DFT calculation with GGA-PBE was carried out for a relaxed structure of NiRuS.

E   -38.561 eV per cell
Theoretical density   8.00 g/cm³
E above lowest polymorph   116 meV per atom
Uncorrected formation energy   -0.03 eV per atom

a = 4.3182 Å, b = 3.1370 Å, c = 5.9411 Å
α = 90.00°, β = 98.27°, γ = 90.00°
Space group Pm (No. 6)
One atom of each set of equivalent atoms:
Ni 0.0000 0.0000 0.0000 [1 per cell]
Ni 0.4751 0.0000 0.6950 [1 per cell]
Ru 0.0877 0.5000 0.3844 [1 per cell]
Ru 0.5230 0.5000 0.0910 [1 per cell]
S 0.1295 0.5000 0.7763 [1 per cell]
S 0.6808 0.0000 0.3743 [1 per cell]

---

[3]
A plane-wave DFT calculation with GGA-PBE was carried out for a relaxed structure of Cs2ZnIn7.

E   -22.839 eV per cell
Theoretical density   5.71 g/cm³
DFT formation energy   -0.07 eV/atom

a = 5.1341 Å, b = 5.1341 Å, c = 12.5315 Å
α = 90.00°, β = 90.00°, γ = 90.00°
Space group P-4m2 (No. 115)
One atom of each set of equivalent atoms:
Cs 0.0000 0.5000 0.2445 [2 per cell]
Zn 0.5000 0.5000 0.0000 [1 per cell]
In 0.0000 0.0000 0.0000 [1 per cell]
In 0.0000 0.0000 0.5000 [1 per cell]
In 0.0000 0.5000 0.6354 [2 per cell]
In 0.0000 0.5000 0.8796 [2 per cell]
In 0.5000 0.5000 0.5000 [1 per cell]

---

[4]
A plane-wave DFT calculation with GGA-PBE was carried out for a relaxed structure of LiHo2Pt2.

E   -56.550 eV per cell
Theoretical density   11.86 g/cm³
DFT formation energy   -1.02 eV/atom
E above lowest polymorph   0 meV per atom

a = 4.2408 Å, b = 5.7575 Å, c = 8.3378 Å
α = 90.00°, β = 90.00°, γ = 90.00°
Space group Immm (No. 71)
One atom of each set of equivalent atoms:
Li 0.0000 0.0000 0.0000 [2 per cell]
Ho 0.0000 0.5000 0.1998 [4 per cell]
Pt 0.0000 0.2409 0.5000 [4 per cell]

---

[5]
A plane-wave DFT calculation with GGA-PBE was carried out for a relaxed structure of LaPm4Cu5.

E   -45.982 eV per cell
Theoretical density   7.48 g/cm³
DFT formation energy   -0.16 eV/atom

a = 3.5683 Å, b = 3.5683 Å, c = 18.0748 Å
α = 90.00°, β = 90.00°, γ = 90.00°
Space group P4/mmm (No. 123)
One atom of each set of equivalent atoms:
La 0.0000 0.0000 0.0000 [1 per cell]
Pm 0.0000 0.0000 0.2032 [2 per cell]
Pm 0.0000 0.0000 0.4011 [2 per cell]
Cu 0.5000 0.5000 0.1079 [2 per cell]
Cu 0.5000 0.5000 0.3023 [2 per cell]
Cu 0.5000 0.5000 0.5000 [1 per cell]

---

[6]
A plane-wave DFT calculation with GGA-PBE was carried out for a relaxed structure of Tb3Sm2TmTe6.

E   -124.804 eV per cell
Theoretical density   7.94 g/cm³
Uncorrected formation energy   -1.31 eV per atom

a = 19.1083 Å, b = 4.3570 Å, c = 8.8123 Å
α = 90.00°, β = 102.66°, γ = 90.00°
Space group C2/m (No. 12)
One atom of each set of equivalent atoms:
Tb 0.0000 0.0000 0.0000 [2 per cell]
Tb 0.1733 0.5000 0.3340 [4 per cell]
Sm 0.1711 0.5000 0.8365 [4 per cell]
Tm 0.0000 0.0000 0.5000 [2 per cell]
Te 0.0023 0.5000 0.2559 [4 per cell]
Te 0.1618 0.0000 0.5760 [4 per cell]
Te 0.1630 0.0000 0.0853 [4 per cell]

---

[7]
A plane-wave DFT calculation with GGA-PBE was carried out for a relaxed structure of Mg2TlAgSe4.

E   -112.088 eV per cell
Theoretical density   4.93 g/cm³
Uncorrected formation energy   -0.71 eV per atom

a = 8.7050 Å, b = 8.7060 Å, c = 12.0324 Å
α = 90.00°, β = 90.00°, γ = 90.00°
Space group Fmm2 (No. 42)
One atom of each set of equivalent atoms:
Mg 0.2500 0.2500 0.0000 [8 per cell]
Tl 0.0000 0.0000 0.2502 [4 per cell]
Ag 0.0000 0.0000 0.7496 [4 per cell]
Se 0.0000 0.2470 0.8816 [8 per cell]
Se 0.2473 0.0000 0.6183 [8 per cell]

---

[8]
A plane-wave DFT calculation with GGA-PBE was carried out for a relaxed structure of PmEu2Ag.

E   -82.526 eV per cell
Theoretical density   6.79 g/cm³
DFT formation energy   0.16 eV/atom
E above lowest polymorph   246 meV per atom

a = 3.6536 Å, b = 3.6536 Å, c = 35.3343 Å
α = 90.00°, β = 90.00°, γ = 120.00°
Space group R-3m (No. 166, hexagonal axes)
One atom of each set of equivalent atoms:
Pm 0.0000 0.0000 0.0000 [3 per cell]
Eu 0.0000 0.0000 0.0989 [6 per cell]
Ag 0.0000 0.0000 0.5000 [3 per cell]

---

[9]
A plane-wave DFT calculation with GGA-PBE was carried out for a relaxed structure of BaZrSn.

E   -31.302 eV per cell
Theoretical density   5.69 g/cm³
DFT formation energy   -0.39 eV/atom

a = 4.7546 Å, b = 4.7546 Å, c = 8.9735 Å
α = 90.00°, β = 90.00°, γ = 90.00°
Space group P4/nmm (No. 129, origin choice 2)
One atom of each set of equivalent atoms:
Ba 0.2500 0.2500 0.1573 [2 per cell]
Zr 0.2500 0.7500 0.5000 [2 per cell]
Sn 0.2500 0.2500 0.7096 [2 per cell]

---

[10]
A plane-wave DFT calculation with GGA-PBE was carried out for a relaxed structure of Cu7Ge.

E   -132.739 eV per cell
Theoretical density   8.69 g/cm³
DFT formation energy   0.01 eV/atom

a = 7.3411 Å, b = 7.3411 Å, c = 7.3411 Å
α = 90.00°, β = 90.00°, γ = 90.00°
Space group Fm-3m (No. 225)
One atom of each set of equivalent atoms:
Cu 0.0000 0.0000 0.0000 [4 per cell]
Cu 0.0000 0.2500 0.2500 [24 per cell]
Ge 0.0000 0.0000 0.5000 [4 per cell]

---

[11]
A plane-wave DFT calculation with GGA-PBE was carried out for a relaxed structure of BaAc3Fe.

E   -21.938 eV per cell
Theoretical density   7.26 g/cm³
DFT formation energy   0.15 eV/atom

a = 5.8462 Å, b = 5.8462 Å, c = 5.8462 Å
α = 90.00°, β = 90.00°, γ = 90.00°
Space group Pm-3m (No. 221)
One atom of each set of equivalent atoms:
Ba 0.0000 0.0000 0.0000 [1 per cell]
Ac 0.0000 0.5000 0.5000 [3 per cell]
Fe 0.5000 0.5000 0.5000 [1 per cell]

---

[12]
A plane-wave DFT calculation with GGA-PBE was carried out for a relaxed structure of K5LiSeO2.

E   -31.400 eV per cell
Theoretical density   2.05 g/cm³
Uncorrected formation energy   -1.18 eV per atom

a = 5.2635 Å, b = 5.2635 Å, c = 9.1550 Å
α = 90.00°, β = 90.00°, γ = 90.00°
Space group P4/mmm (No. 123)
One atom of each set of equivalent atoms:
K 0.0000 0.0000 0.0000 [1 per cell]
K 0.0000 0.5000 0.2483 [4 per cell]
Li 0.0000 0.0000 0.5000 [1 per cell]
Se 0.5000 0.5000 0.0000 [1 per cell]
O 0.0000 0.0000 0.3038 [2 per cell]

---

[13]
A plane-wave DFT calculation with GGA-PBE was carried out for a relaxed structure of Ca2AgP.

E   -30.299 eV per cell
Theoretical density   3.74 g/cm³
DFT formation energy   -0.72 eV/atom

a = 5.9756 Å, b = 4.3848 Å, c = 7.9133 Å
α = 90.00°, β = 110.15°, γ = 90.00°
Space group P2_1/m (No. 11)
One atom of each set of equivalent atoms:
Ca 0.2100 0.2500 0.4315 [2 per cell]
Ca 0.2300 0.2500 0.9288 [2 per cell]
Ag 0.3385 0.7500 0.2158 [2 per cell]
P 0.3318 0.7500 0.7065 [2 per cell]

---

[14]
A plane-wave DFT calculation with GGA-PBE was carried out for a relaxed structure of LiCePt2.

E   -23.102 eV per cell
Theoretical density   12.02 g/cm³
DFT formation energy   -0.79 eV/atom

a = 4.3981 Å, b = 4.3981 Å, c = 3.8359 Å
α = 90.00°, β = 90.00°, γ = 90.00°
Space group P4/mmm (No. 123)
One atom of each set of equivalent atoms:
Li 0.0000 0.0000 0.0000 [1 per cell]
Ce 0.5000 0.5000 0.0000 [1 per cell]
Pt 0.0000 0.5000 0.5000 [2 per cell]

---

[15]
A plane-wave DFT calculation with GGA-PBE was carried out for a relaxed structure of TcPIr.

E   -101.636 eV per cell
Theoretical density   12.61 g/cm³
DFT formation energy   -0.26 eV/atom
E above lowest polymorph   102 meV per atom

a = 12.9010 Å, b = 2.9148 Å, c = 4.5005 Å
α = 90.00°, β = 90.42°, γ = 90.00°
Space group Cm (No. 8)
One atom of each set of equivalent atoms:
Tc 0.0000 0.0000 0.0000 [2 per cell]
Tc 0.1823 0.5000 0.0135 [2 per cell]
P 0.0012 0.5000 0.5805 [2 per cell]
P 0.3346 0.5000 0.7477 [2 per cell]
Ir 0.1385 0.0000 0.5103 [2 per cell]
Ir 0.3419 0.0000 0.3296 [2 per cell]

---

[16]
A plane-wave DFT calculation with GGA-PBE was carried out for a relaxed structure of NiAgI5.

E   -66.584 eV per cell
Theoretical density   5.18 g/cm³
Uncorrected formation energy   -0.04 eV per atom

a = 10.5381 Å, b = 10.2654 Å, c = 10.4675 Å
α = 90.00°, β = 114.85°, γ = 90.00°
Space group C2/c (No. 15)
One atom of each set of equivalent atoms:
Ni 0.2500 0.2500 0.0000 [4 per cell]
Ag 0.0000 0.0338 0.2500 [4 per cell]
I 0.0000 0.2441 0.7500 [4 per cell]
I 0.1044 0.2602 0.1499 [8 per cell]
I 0.2485 0.0021 0.0018 [8 per cell]

---

[17]
A plane-wave DFT calculation with GGA-PBE was carried out for a relaxed structure of BeCr2Au.

E   -25.529 eV per cell
Theoretical density   10.05 g/cm³
DFT formation energy   0.18 eV/atom
E above lowest polymorph   119 meV per atom

a = 3.1731 Å, b = 3.1731 Å, c = 5.0869 Å
α = 90.00°, β = 90.00°, γ = 90.00°
Space group P4/mmm (No. 123)
One atom of each set of equivalent atoms:
Be 0.0000 0.0000 0.0000 [1 per cell]
Cr 0.5000 0.5000 0.1869 [2 per cell]
Au 0.0000 0.0000 0.5000 [1 per cell]

---

[18]
A plane-wave DFT calculation with GGA-PBE was carried out for a relaxed structure of Ca2CdCu3O6.

E   -62.510 eV per cell
Theoretical density   4.89 g/cm³
Uncorrected formation energy   -1.30 eV per atom

a = 3.7622 Å, b = 3.7622 Å, c = 11.4979 Å
α = 90.00°, β = 90.00°, γ = 90.00°
Space group P4/mmm (No. 123)
One atom of each set of equivalent atoms:
Ca 0.0000 0.0000 0.2149 [2 per cell]
Cd 0.0000 0.0000 0.5000 [1 per cell]
Cu 0.5000 0.5000 0.0000 [1 per cell]
Cu 0.5000 0.5000 0.3577 [2 per cell]
O 0.0000 0.5000 0.3593 [4 per cell]
O 0.5000 0.5000 0.1549 [2 per cell]

---

[19]
A plane-wave DFT calculation with GGA-PBE was carried out for a relaxed structure of NaSnB.

E   -22.791 eV per cell
Theoretical density   4.08 g/cm³
DFT formation energy   0.20 eV/atom

a = 4.7045 Å, b = 5.0140 Å, c = 5.7442 Å
α = 90.00°, β = 113.53°, γ = 90.00°
Space group P2/m (No. 10)
One atom of each set of equivalent atoms:
Na 0.1359 0.0000 0.2721 [2 per cell]
Sn 0.3449 0.5000 0.6938 [2 per cell]
B 0.5000 0.1578 0.0000 [2 per cell]

---

[20]
A plane-wave DFT calculation with GGA-PBE was carried out for a relaxed structure of CoPd8Pt5.

E   -152.516 eV per cell
Theoretical density   13.91 g/cm³
DFT formation energy   0.19 eV/atom

a = 7.6229 Å, b = 7.6229 Å, c = 7.7487 Å
α = 90.00°, β = 90.00°, γ = 90.00°
Space group I-4 (No. 82)
One atom of each set of equivalent atoms:
Co 0.0000 0.0000 0.0000 [2 per cell]
Pd 0.0611 0.3301 0.9169 [8 per cell]
Pd 0.1035 0.1787 0.2393 [8 per cell]
Pt 0.0000 0.5000 0.2500 [2 per cell]
Pt 0.1102 0.2007 0.5827 [8 per cell]

---

[21]
A plane-wave DFT calculation with GGA-PBE was carried out for a relaxed structure of Sr5AgAu2.

E   -87.617 eV per cell
Theoretical density   5.59 g/cm³
DFT formation energy   -0.51 eV/atom

a = 8.4163 Å, b = 8.4163 Å, c = 15.7628 Å
α = 90.00°, β = 90.00°, γ = 90.00°
Space group I4/mcm (No. 140)
One atom of each set of equivalent atoms:
Sr 0.0000 0.0000 0.0000 [4 per cell]
Sr 0.1678 0.3322 0.1405 [16 per cell]
Ag 0.0000 0.0000 0.2500 [4 per cell]
Au 0.1282 0.3718 0.5000 [8 per cell]

---

[22]
A plane-wave DFT calculation with GGA-PBE was carried out for a relaxed structure of NaTe2MoPt.

E   -21.052 eV per cell
Theoretical density   6.70 g/cm³
Uncorrected formation energy   0.68 eV per atom

a = 5.3322 Å, b = 5.3322 Å, c = 4.9594 Å
α = 90.00°, β = 90.00°, γ = 90.00°
Space group P4/mmm (No. 123)
One atom of each set of equivalent atoms:
Na 0.0000 0.0000 0.0000 [1 per cell]
Te 0.0000 0.5000 0.5000 [2 per cell]
Mo 0.5000 0.5000 0.0000 [1 per cell]
Pt 0.0000 0.0000 0.5000 [1 per cell]

---

[23]
A plane-wave DFT calculation with GGA-PBE was carried out for a relaxed structure of BaLa3Ir.

E   -18.699 eV per cell
Theoretical density   6.67 g/cm³
DFT formation energy   1.37 eV/atom
E above lowest polymorph   1693 meV per atom

a = 5.7064 Å, b = 5.7064 Å, c = 5.7064 Å
α = 90.00°, β = 90.00°, γ = 90.00°
Space group Pm-3m (No. 221)
One atom of each set of equivalent atoms:
Ba 0.0000 0.0000 0.0000 [1 per cell]
La 0.0000 0.0000 0.5000 [3 per cell]
Ir 0.5000 0.5000 0.5000 [1 per cell]